w) VASP calculation (GGA-PBE) on a geometry-optimized Y2ScCr structure.

CIF file:
```
data_Y2ScCr
_cell_length_a 3.5374
_cell_length_b 3.5374
_cell_length_c 8.2387
_cell_angle_alpha 90.00
_cell_angle_beta 90.00
_cell_angle_gamma 90.00
_symmetry_space_group_name_H-M 'P 1'
_symmetry_Int_Tables_number 1
_symmetry_space_group_name_Hall 'P 1'
loop_
_atom_site_label
_atom_site_type_symbol
_atom_site_fract_x
_atom_site_fract_y
_atom_site_fract_z
Cr1 Cr 0.0000 0.0000 0.5224
Sc1 Sc 0.5000 0.5000 0.6979
Y1 Y 0.0000 0.0000 0.9806
Y2 Y 0.5000 0.5000 0.2991
```

Properties
total moment = 3.47 μB per cell
symmetry = P4mm (99)
V = 103.1 Å³/cell


x) VASP calculation (GGA-PBE) on a geometry-optimized Y2ScCr structure.

CIF file:
```
data_Y2ScCr
_cell_length_a 6.2019
_cell_length_b 6.2019
_cell_length_c 5.1844
_cell_angle_alpha 65.32
_cell_angle_beta 65.32
_cell_angle_gamma 34.95
_symmetry_space_group_name_H-M 'P 1'
_symmetry_Int_Tables_number 1
_symmetry_space_group_name_Hall 'P 1'
loop_
_atom_site_label
_atom_site_type_symbol
_atom_site_fract_x
_atom_site_fract_y
_atom_site_fract_z
Cr1 Cr 0.7500 0.7500 0.7500
Sc1 Sc 0.2500 0.2500 0.2500
Y1 Y 0.0365 0.0365 0.9635
Y2 Y 0.4635 0.4635 0.5365
```

Properties
total moment = 3.41 μB per cell
symmetry = Immm (71)
V = 102.7 Å³/cell


From most stable to least stable, the computed energies give w), x).


w) VASP calculation (GGA-PBE) on a geometry-optimized Y2ScCr structure.

CIF file:
```
data_Y2ScCr
_cell_length_a 6.2557
_cell_length_b 6.2557
_cell_length_c 6.2557
_cell_angle_alpha 146.32
_cell_angle_beta 130.33
_cell_angle_gamma 61.36
_symmetry_space_group_name_H-M 'P 1'
_symmetry_Int_Tables_number 1
_symmetry_space_group_name_Hall 'P 1'
loop_
_atom_site_label
_atom_site_type_symbol
_atom_site_fract_x
_atom_site_fract_y
_atom_site_fract_z
Cr1 Cr 0.4914 0.4914 0.0000
Sc1 Sc 0.2894 0.7894 0.5000
Y1 Y 0.0032 0.0032 0.0000
Y2 Y 0.7160 0.2160 0.5000
```

Properties
total moment = 3.21 μB per cell
symmetry = Imm2 (44)
V = 102.5 Å³/cell


x) VASP calculation (GGA-PBE) on a geometry-optimized Y2ScCr structure.

CIF file:
```
data_Y2ScCr
_cell_length_a 4.9009
_cell_length_b 3.4306
_cell_length_c 6.3898
_cell_angle_alpha 74.52
_cell_angle_beta 90.00
_cell_angle_gamma 90.00
_symmetry_space_group_name_H-M 'P 1'
_symmetry_Int_Tables_number 1
_symmetry_space_group_name_Hall 'P 1'
loop_
_atom_site_label
_atom_site_type_symbol
_atom_site_fract_x
_atom_site_fract_y
_atom_site_fract_z
Cr1 Cr 0.0000 0.6842 0.5037
Sc1 Sc 0.5000 0.5671 0.7427
Y1 Y 0.0000 0.9603 0.9563
Y2 Y 0.5000 0.2884 0.2973
```

Properties
total moment = 2.20 μB per cell
symmetry = Pm (6)
V = 103.5 Å³/cell


From most stable to least stable, the computed energies give w), x).


w) VASP calculation (GGA-PBE) on a geometry-optimized YScCr2 structure.

CIF file:
```
data_YScCr2
_cell_length_a 4.9405
_cell_length_b 4.9405
_cell_length_c 5.6975
_cell_angle_alpha 79.47
_cell_angle_beta 79.47
_cell_angle_gamma 38.14
_symmetry_space_group_name_H-M 'P 1'
_symmetry_Int_Tables_number 1
_symmetry_space_group_name_Hall 'P 1'
loop_
_atom_site_label
_atom_site_type_symbol
_atom_site_fract_x
_atom_site_fract_y
_atom_site_fract_z
Cr1 Cr 0.0045 0.0045 0.9680
Cr2 Cr 0.4955 0.4955 0.5320
Sc1 Sc 0.7500 0.7500 0.7500
Y1 Y 0.2500 0.2500 0.2500
```

Properties
total moment = 6.06 μB per cell
symmetry = C2/m (12)
V = 84.3 Å³/cell


x) VASP calculation (GGA-PBE) on a geometry-optimized YScCr2 structure.

CIF file:
```
data_YScCr2
_cell_length_a 4.8672
_cell_length_b 4.8672
_cell_length_c 4.8672
_cell_angle_alpha 60.00
_cell_angle_beta 60.00
_cell_angle_gamma 60.00
_symmetry_space_group_name_H-M 'P 1'
_symmetry_Int_Tables_number 1
_symmetry_space_group_name_Hall 'P 1'
loop_
_atom_site_label
_atom_site_type_symbol
_atom_site_fract_x
_atom_site_fract_y
_atom_site_fract_z
Cr1 Cr 0.0000 0.0000 0.0000
Cr2 Cr 0.2500 0.2500 0.2500
Sc1 Sc 0.5000 0.5000 0.5000
Y1 Y 0.7500 0.7500 0.7500
```

Properties
total moment = 0.11 μB per cell
symmetry = F-43m (216)
V = 81.5 Å³/cell


y) VASP calculation (GGA-PBE) on a geometry-optimized YScCr2 structure.

CIF file:
```
data_YScCr2
_cell_length_a 9.4596
_cell_length_b 9.4596
_cell_length_c 9.4596
_cell_angle_alpha 19.66
_cell_angle_beta 19.66
_cell_angle_gamma 19.66
_symmetry_space_group_name_H-M 'P 1'
_symmetry_Int_Tables_number 1
_symmetry_space_group_name_Hall 'P 1'
loop_
_atom_site_label
_atom_site_type_symbol
_atom_site_fract_x
_atom_site_fract_y
_atom_site_fract_z
Cr1 Cr 0.9965 0.9965 0.9965
Cr2 Cr 0.5035 0.5035 0.5035
Sc1 Sc 0.2500 0.2500 0.2500
Y1 Y 0.7500 0.7500 0.7500
```

Properties
total moment = 6.21 μB per cell
symmetry = R-3m (166)
V = 83.8 Å³/cell


From most stable to least stable, the computed energies give x), w), y).